A relaxed structure of NaLiNO2. Source: Alexandria, functional GGA-PBE.

a b c (Å): 4.314 4.314 4.514
angles (deg): 90.00 90.00 90.00
Element x y z (fractional)
1 Na 0.000 0.000 0.000
2 Li 0.500 0.500 0.500
3 N 0.000 0.000 0.500
4 O 0.000 0.500 0.000
5 O 0.500 0.000 0.000

## Properties
The space-group type is P4/mmm, No. 123. As for the raw formation energy: 0.9398 eV per atom. The crystal system is tetragonal.


A relaxed structure of Li2Pm3Hg3. Source: Alexandria, functional GGA-PBE.

a b c (Å): 10.701 10.701 10.701
angles (deg): 159.43 151.65 35.28
Element x y z (fractional)
1 Li 0.241 0.241 0.000
2 Li 0.759 0.759 0.000
3 Pm 0.000 0.000 0.000
4 Pm 0.372 0.872 0.500
5 Pm 0.628 0.128 0.500
6 Hg 0.145 0.645 0.500
7 Hg 0.500 0.500 0.000
8 Hg 0.855 0.355 0.500

## Properties
The space-group type is Immm, No. 71. Its excess energy over the best structure of this formula in the dataset is 24 meV per atom. The crystal system is orthorhombic.


A relaxed structure of PdSCl2. Source: Alexandria, functional GGA-PBE.

a b c (Å): 7.638 7.638 7.638
angles (deg): 28.75 28.75 28.75
Element x y z (fractional)
1 Pd 0.000 0.000 0.000
2 S 0.500 0.500 0.500
3 Cl 0.397 0.397 0.397
4 Cl 0.603 0.603 0.603

## Properties
The space-group type is R-3m, No. 166. As for the raw formation energy: 0.2265 eV per atom. Its excess energy over the best structure of this formula in the dataset is 93 meV per atom. The crystal system is trigonal.


A relaxed structure of YFe2Rh. Source: Alexandria, functional GGA-PBE.

a b c (Å): 4.478 4.478 4.478
angles (deg): 60.00 60.00 60.00
Element x y z (fractional)
1 Y 0.000 0.000 0.000
2 Fe 0.250 0.250 0.250
3 Fe 0.750 0.750 0.750
4 Rh 0.500 0.500 0.500

## Properties
The space-group type is Fm-3m, No. 225. The crystal system is cubic. For the electronic total energy, the calculation gives -7.631 eV/atom.


A relaxed structure of Ac2InReO8. Source: Alexandria, functional GGA-PBE.

a b c (Å): 5.738 5.922 6.750
angles (deg): 76.19 78.72 70.50
Element x y z (fractional)
1 Ac 0.084 0.149 0.209
2 Ac 0.916 0.851 0.791
3 In 0.500 0.500 0.500
4 Re 0.500 0.500 0.000
5 O 0.226 0.815 0.485
6 O 0.269 0.819 0.990
7 O 0.280 0.417 0.870
8 O 0.338 0.395 0.263
9 O 0.662 0.605 0.737
10 O 0.720 0.583 0.130
11 O 0.731 0.181 0.010
12 O 0.774 0.185 0.515

## Properties
The space-group type is P-1, No. 2. As for the raw formation energy: -2.3480 eV per atom. The crystal system is triclinic.


A relaxed structure of NaCuSiPt2. Source: Alexandria, functional GGA-PBE.

a b c (Å): 4.653 4.653 4.640
angles (deg): 90.00 90.00 90.00
Element x y z (fractional)
1 Na 0.000 0.000 0.000
2 Cu 0.500 0.500 0.500
3 Si 0.000 0.000 0.500
4 Pt 0.000 0.500 0.000
5 Pt 0.500 0.000 0.000

## Properties
The space-group type is P4/mmm, No. 123. As for the raw formation energy: 1.5533 eV per atom. The crystal system is tetragonal.


A relaxed structure of ZnFeTe. Source: Alexandria, functional GGA-PBE.

a b c (Å): 6.566 6.566 6.566
angles (deg): 153.09 153.09 38.42
Element x y z (fractional)
1 Zn 0.000 0.000 0.000
2 Fe 0.380 0.380 0.000
3 Te 0.762 0.762 0.000

## Properties
The space-group type is I4mm, No. 107. As for the raw formation energy: 0.2894 eV per atom. Its excess energy over the best structure of this formula in the dataset is 146 meV per atom. The crystal system is tetragonal.


A relaxed structure of Ce4Er11Tm9. Source: Alexandria, functional GGA-PBE.

a b c (Å): 14.829 14.829 3.609
angles (deg): 90.00 90.00 112.40
Element x y z (fractional)
1 Ce 0.053 0.251 0.000
2 Ce 0.251 0.053 0.000
3 Ce 0.749 0.947 0.000
4 Ce 0.947 0.749 0.000
5 Er 0.091 0.452 0.500
6 Er 0.137 0.863 0.500
7 Er 0.212 0.212 0.500
8 Er 0.342 0.658 0.500
9 Er 0.452 0.091 0.500
10 Er 0.500 0.500 0.500
11 Er 0.548 0.909 0.500
12 Er 0.658 0.342 0.500
13 Er 0.788 0.788 0.500
14 Er 0.863 0.137 0.500
15 Er 0.909 0.548 0.500
16 Tm 0.000 0.000 0.000
17 Tm 0.135 0.662 0.000
18 Tm 0.287 0.431 0.000
19 Tm 0.338 0.865 0.000
20 Tm 0.431 0.287 0.000
21 Tm 0.569 0.713 0.000
22 Tm 0.662 0.135 0.000
23 Tm 0.713 0.569 0.000
24 Tm 0.865 0.338 0.000

## Properties
The space-group type is Cmmm, No. 65. The crystal system is orthorhombic. For the electronic total energy, the calculation gives -4.657 eV/atom.


A relaxed structure of CeErPbO2. Source: Alexandria, functional GGA-PBE.

a b c (Å): 7.404 7.404 7.404
angles (deg): 149.48 149.48 43.70
Element x y z (fractional)
1 Ce 0.000 0.000 0.000
2 Er 0.668 0.668 0.000
3 Pb 0.333 0.333 0.000
4 O 0.088 0.588 0.500
5 O 0.588 0.088 0.500

## Properties
The space-group type is I4mm, No. 107. As for the raw formation energy: -2.5166 eV per atom. The crystal system is tetragonal.


A relaxed structure of YScTe3. Source: Alexandria, functional GGA-PBE.

a b c (Å): 9.674 7.496 10.863
angles (deg): 90.00 116.39 90.00
Element x y z (fractional)
1 Y 0.224 0.178 0.109
2 Y 0.224 0.322 0.609
3 Y 0.776 0.678 0.391
4 Y 0.776 0.822 0.891
5 Sc 0.419 0.744 0.032
6 Sc 0.419 0.756 0.532
7 Sc 0.581 0.244 0.468
8 Sc 0.581 0.256 0.968
9 Te 0.114 0.659 0.449
10 Te 0.114 0.841 0.949
11 Te 0.277 0.095 0.401
12 Te 0.277 0.405 0.901
13 Te 0.433 0.558 0.294
14 Te 0.433 0.942 0.794
15 Te 0.567 0.058 0.206
16 Te 0.567 0.442 0.706
17 Te 0.723 0.595 0.099
18 Te 0.723 0.905 0.599
19 Te 0.886 0.159 0.051
20 Te 0.886 0.341 0.551

## Properties
The space-group type is P2_1/c, No. 14. As for the raw formation energy: -1.2094 eV per atom. Its excess energy over the best structure of this formula in the dataset is 88 meV per atom. The crystal system is monoclinic.


A relaxed structure of InGaSb2. Source: Alexandria, functional GGA-PBE.

a b c (Å): 5.247 5.247 5.247
angles (deg): 60.00 60.00 60.00
Element x y z (fractional)
1 In 0.000 0.000 0.000
2 Ga 0.500 0.500 0.500
3 Sb 0.250 0.250 0.250
4 Sb 0.750 0.750 0.750

## Properties
The space-group type is Fm-3m, No. 225. As for the raw formation energy: 0.1377 eV per atom. Its excess energy over the best structure of this formula in the dataset is 276 meV per atom. The crystal system is cubic.


A relaxed structure of BaAgSbSe3. Source: Alexandria, functional GGA-PBE.

a b c (Å): 8.726 4.316 9.586
angles (deg): 90.00 105.32 90.00
Element x y z (fractional)
1 Ba 0.202 0.250 0.256
2 Ba 0.798 0.750 0.744
3 Ag 0.085 0.250 0.591
4 Ag 0.915 0.750 0.409
5 Sb 0.324 0.750 0.852
6 Sb 0.676 0.250 0.148
7 Se 0.108 0.250 0.882
8 Se 0.248 0.750 0.525
9 Se 0.448 0.750 0.153
10 Se 0.552 0.250 0.847
11 Se 0.752 0.250 0.475
12 Se 0.892 0.750 0.118

## Properties
The space-group type is P2_1/m, No. 11. As for the raw formation energy: -0.8137 eV per atom. The crystal system is monoclinic.